1.
! PBE Al2SiMo, optimized geometry; values from VASP
! DFT total energy: -5.974 eV per atom
! space group: C2/m (12)
&SYSTEM
  ibrav = 0, nat = 4, ntyp = 3
/
ATOMIC_SPECIES
Al 26.98 Al.upf
Si 28.09 Si.upf
Mo 95.94 Mo.upf
CELL_PARAMETERS angstrom
2.6473 -4.0498 0.0000
2.6473 4.0498 0.0000
-0.0359 0.0000 2.8018
ATOMIC_POSITIONS crystal
Al 0.0000 0.5000 0.0000
Al 0.5000 0.0000 0.0000
Si 0.0000 0.0000 0.5000
Mo 0.5000 0.5000 0.5000


2.
! PBE AlSiMo2, optimized geometry; values from VASP
! DFT total energy: -7.803 eV per atom
! space group: P2/m (10)
! relative energy among the computed polymorphs: 0.83 eV per formula unit
&SYSTEM
  ibrav = 0, nat = 4, ntyp = 3
/
ATOMIC_SPECIES
Al 26.98 Al.upf
Si 28.09 Si.upf
Mo 95.94 Mo.upf
CELL_PARAMETERS angstrom
2.7749 0.0000 0.0000
0.0000 4.1018 0.0000
-0.9562 0.0000 5.2321
ATOMIC_POSITIONS crystal
Al 0.0000 0.0000 0.0000
Si 0.5000 0.0000 0.5000
Mo 0.2745 0.5000 0.7481
Mo 0.7255 0.5000 0.2519


no.,formation energy (no corrections) (eV/atom),total moment (μB/cell)
1,-0.039,0.0
2,-0.096,0.0